# 1
VASP calculation (PBE) on a relaxed structure of NaAsBr2.

Output
- E above lowest polymorph: 15.2 kJ/mol of atoms
- Energy relative to the elements, uncorrected: -0.3718 eV per atom

Unit cell a=5.5799 b=5.5799 c=16.8937 alpha=90.00 beta=90.00 gamma=90.00
With the nearest neighbours (Å) after each atom.
Element x y z (fractional)
Na: 0.0000 0.0000 0.0000  4 Br 3.01
Na: 0.0000 0.5000 0.2500  4 Br 3.01
Na: 0.5000 0.0000 0.7500  4 Br 3.01
Na: 0.5000 0.5000 0.5000  4 Br 3.01
As: 0.0000 0.0000 0.5000  4 Br 2.79
As: 0.0000 0.5000 0.7500  4 Br 2.79
As: 0.5000 0.0000 0.2500  4 Br 2.79
As: 0.5000 0.5000 0.0000  4 Br 2.79
Br: 0.2086 0.2500 0.6250  2 As 2.79, 2 Na 3.01
Br: 0.2500 0.7086 0.8750  2 As 2.79, 2 Na 3.01
Br: 0.2500 0.7914 0.3750  2 As 2.79, 2 Na 3.01
Br: 0.2914 0.2500 0.1250  2 As 2.79, 2 Na 3.01
Br: 0.7086 0.7500 0.1250  2 As 2.79, 2 Na 3.01
Br: 0.7500 0.2086 0.3750  2 As 2.79, 2 Na 3.01
Br: 0.7500 0.2914 0.8750  2 As 2.79, 2 Na 3.01
Br: 0.7914 0.7500 0.6250  2 As 2.79, 2 Na 3.01

# 2
VASP calculation (PBE) on a relaxed structure of K2AlIn.

Output
- E above lowest polymorph: 27.7 kJ/mol of atoms
- Formation energy from the elements: 300 meV/atom

Unit cell a=3.4351 b=3.4351 c=11.5367 alpha=90.00 beta=90.00 gamma=90.00
With the nearest neighbours (Å) after each atom.
Element x y z (fractional)
K: 0.0000 0.0000 0.2407  4 K 3.44, 4 Al 3.69
K: 0.0000 0.0000 0.7593  4 K 3.44, 4 Al 3.69
Al: 0.5000 0.5000 0.0000  4 Al 3.44, 8 K 3.69
In: 0.5000 0.5000 0.5000  4 In 3.44